# TeIO2F

TeIO2F after structural relaxation (PBE, Alexandria).

ΔE_f (raw) = -0.389 eV per atom
uncorrected energy = -3.685 eV per atom
magnetization = 0.383 μB/atom
DOS(E_F) = 0.61 states/eV/atom

Unit cell a=4.2889 b=4.2889 c=4.5699 alpha=90.00 beta=90.00 gamma=90.00
Space group P4/mmm (No. 123)
Asymmetric unit:
Te  0.0000  0.0000  0.0000 [1 per cell]
I  0.5000  0.5000  0.5000 [1 per cell]
O  0.0000  0.5000  0.0000 [2 per cell]
F  0.0000  0.0000  0.5000 [1 per cell]

=====

# InBiSb2Te

InBiSb2Te after structural relaxation (PBE, Alexandria).

ΔE_f (raw) = 0.635 eV per atom
uncorrected energy = -2.966 eV per atom
magnetization = 0.144 μB/atom
DOS(E_F) = 1.13 states/eV/atom

Unit cell a=5.8477 b=5.8477 c=6.0732 alpha=90.00 beta=90.00 gamma=90.00
Space group P4/mmm (No. 123)
Asymmetric unit:
In  0.0000  0.0000  0.0000 [1 per cell]
Bi  0.5000  0.5000  0.5000 [1 per cell]
Sb  0.0000  0.5000  0.5000 [2 per cell]
Te  0.5000  0.5000  0.0000 [1 per cell]

=====

# Ba3Mg3Au2

Ba3Mg3Au2 after structural relaxation (PBE, Alexandria).

uncorrected energy = -2.533 eV per atom
energy of formation from the pure elements = -0.40 eV/atom
magnetization = 0.000 μB/atom
DOS(E_F) = 0.84 states/eV/atom

Unit cell a=9.1260 b=17.5861 c=6.5557 alpha=90.00 beta=90.00 gamma=90.00
Space group Pnma (No. 62)
Asymmetric unit:
Ba  0.0365  0.1083  0.1063 [8 per cell]
Ba  0.1766  0.2500  0.6188 [4 per cell]
Mg  0.1669  0.7500  0.5965 [4 per cell]
Mg  0.1677  0.0339  0.6026 [8 per cell]
Au  0.1174  0.6052  0.3851 [8 per cell]

=====

# CsTc2AuO8

CsTc2AuO8 after structural relaxation (PBE, Alexandria).

ΔE_f (raw) = -1.277 eV per atom
uncorrected energy = -6.655 eV per atom
magnetization = 0.000 μB/atom

Unit cell a=12.1170 b=5.9086 c=7.7815 alpha=90.00 beta=116.77 gamma=90.00
Space group C2/m (No. 12)
Asymmetric unit:
Cs  0.0000  0.0000  0.0000 [2 per cell]
Tc  0.1990  0.0000  0.6685 [4 per cell]
Au  0.0000  0.5000  0.5000 [2 per cell]
O  0.1265  0.2411  0.7071 [8 per cell]
O  0.1444  0.5000  0.1738 [4 per cell]
O  0.1785  0.0000  0.4326 [4 per cell]

=====

# Dy4Ho7Zr

Dy4Ho7Zr after structural relaxation (PBE, Alexandria).

uncorrected energy = -4.890 eV per atom
energy of formation from the pure elements = 0.03 eV/atom
magnetization = 0.000 μB/atom
DOS(E_F) = 1.36 states/eV/atom

Unit cell a=6.1045 b=7.0717 c=8.6861 alpha=90.01 beta=103.70 gamma=90.04
Space group P-1 (No. 2)
Asymmetric unit:
Dy  0.2162  0.0002  0.1738 [2 per cell]
Dy  0.2747  0.7545  0.8279 [2 per cell]
Ho  0.0000  0.5000  0.5000 [1 per cell]
Ho  0.2244  0.5002  0.1635 [2 per cell]
Ho  0.2745  0.2449  0.8277 [2 per cell]
Ho  0.4999  0.2429  0.5002 [2 per cell]
Zr  0.0000  0.0000  0.5000 [1 per cell]

=====

# BaPmBiI

BaPmBiI after structural relaxation (PBE, Alexandria).

ΔE_f (raw) = -0.894 eV per atom
uncorrected energy = -3.920 eV per atom
magnetization = 0.224 μB/atom
DOS(E_F) = 0.52 states/eV/atom

Unit cell a=8.2561 b=8.2561 c=8.2561 alpha=90.00 beta=90.00 gamma=90.00
Space group F-43m (No. 216)
Asymmetric unit:
Ba  0.0000  0.0000  0.0000 [4 per cell]
Pm  0.0000  0.0000  0.5000 [4 per cell]
Bi  0.2500  0.2500  0.2500 [4 per cell]
I  0.2500  0.2500  0.7500 [4 per cell]

=====

# MgMoPb2

MgMoPb2 after structural relaxation (PBE, Alexandria).

uncorrected energy = -4.452 eV per atom
energy of formation from the pure elements = 0.51 eV/atom
magnetization = 0.000 μB/atom
DOS(E_F) = 0.81 states/eV/atom

Unit cell a=3.6620 b=4.7368 c=10.3038 alpha=90.00 beta=90.00 gamma=90.00
Space group Imm2 (No. 44)
Asymmetric unit:
Mg  0.0000  0.0000  0.0000 [2 per cell]
Mo  0.0000  0.5000  0.2765 [2 per cell]
Pb  0.0000  0.0000  0.5446 [2 per cell]
Pb  0.0000  0.5000  0.7706 [2 per cell]

=====

# LiCa2HRh

LiCa2HRh after structural relaxation (PBE, Alexandria).

uncorrected energy = -3.620 eV per atom
offset from the most stable computed form = 13 meV/atom
magnetization = 0.000 μB/atom
DOS(E_F) = 0.63 states/eV/atom

Unit cell a=4.8153 b=4.8153 c=3.8369 alpha=90.00 beta=90.00 gamma=90.00
Space group P4/mmm (No. 123)
Asymmetric unit:
Li  0.0000  0.0000  0.0000 [1 per cell]
Ca  0.0000  0.5000  0.5000 [2 per cell]
H  0.0000  0.0000  0.5000 [1 per cell]
Rh  0.5000  0.5000  0.0000 [1 per cell]

=====

# Nd12ZnCo6

Nd12ZnCo6 after structural relaxation (PBE, Alexandria).

uncorrected energy = -5.417 eV per atom
energy of formation from the pure elements = -0.09 eV/atom
magnetization = 0.000 μB/atom
DOS(E_F) = 0.82 states/eV/atom

Unit cell a=9.9673 b=9.9673 c=9.9673 alpha=90.00 beta=90.00 gamma=90.00
Space group Im-3 (No. 204)
Asymmetric unit:
Nd  0.0000  0.1932  0.3046 [24 per cell]
Zn  0.0000  0.0000  0.0000 [2 per cell]
Co  0.0000  0.3883  0.5000 [12 per cell]

=====

# KBeW2

KBeW2 after structural relaxation (PBE, Alexandria).

uncorrected energy = -6.833 eV per atom
energy of formation from the pure elements = 0.85 eV/atom
magnetization = 0.000 μB/atom
DOS(E_F) = 0.62 states/eV/atom

Unit cell a=2.6655 b=3.8378 c=8.0828 alpha=90.00 beta=90.00 gamma=90.00
Space group Pmm2 (No. 25)
Asymmetric unit:
K  0.0000  0.0000  0.0000 [1 per cell]
Be  0.5000  0.5000  0.6781 [1 per cell]
W  0.0000  0.0000  0.5534 [1 per cell]
W  0.5000  0.5000  0.3665 [1 per cell]

=====

# LaTh5Sb6

LaTh5Sb6 after structural relaxation (PBE, Alexandria).

ΔE_f (raw) = -0.973 eV per atom
uncorrected energy = -6.536 eV per atom
magnetization = 0.000 μB/atom
DOS(E_F) = 0.66 states/eV/atom

Unit cell a=7.8251 b=13.5637 c=7.8432 alpha=90.00 beta=109.45 gamma=90.00
Space group C2/m (No. 12)
Asymmetric unit:
La  0.0000  0.0000  0.0000 [2 per cell]
Th  0.0000  0.1644  0.5000 [4 per cell]
Th  0.0000  0.3330  0.0000 [4 per cell]
Th  0.0000  0.5000  0.5000 [2 per cell]
Sb  0.2468  0.5000  0.2498 [4 per cell]
Sb  0.2476  0.3318  0.7475 [8 per cell]

=====

# LaLuRuAu

LaLuRuAu after structural relaxation (PBE, Alexandria).

uncorrected energy = -5.999 eV per atom
energy of formation from the pure elements = -0.50 eV/atom
magnetization = 0.000 μB/atom
DOS(E_F) = 0.66 states/eV/atom

Unit cell a=7.1212 b=7.1212 c=7.1212 alpha=90.00 beta=90.00 gamma=90.00
Space group F-43m (No. 216)
Asymmetric unit:
La  0.0000  0.0000  0.0000 [4 per cell]
Lu  0.0000  0.0000  0.5000 [4 per cell]
Ru  0.2500  0.2500  0.2500 [4 per cell]
Au  0.2500  0.2500  0.7500 [4 per cell]

=====

# PIrAu2

PIrAu2 after structural relaxation (PBE, Alexandria).

uncorrected energy = -5.034 eV per atom
energy of formation from the pure elements = 0.17 eV/atom
magnetization = 0.000 μB/atom
DOS(E_F) = 0.47 states/eV/atom

Unit cell a=4.4020 b=3.5518 c=4.7250 alpha=90.00 beta=106.50 gamma=90.00
Space group Pm (No. 6)
Asymmetric unit:
P  0.0000  0.0000  0.0000 [1 per cell]
Ir  0.5421  0.0000  0.1467 [1 per cell]
Au  0.1676  0.0000  0.5450 [1 per cell]
Au  0.6937  0.5000  0.6593 [1 per cell]

=====

# TmScAlCd

TmScAlCd after structural relaxation (PBE, Alexandria).

uncorrected energy = -4.228 eV per atom
energy of formation from the pure elements = -0.36 eV/atom
offset from the most stable computed form = 0 meV/atom
magnetization = 0.000 μB/atom
DOS(E_F) = 0.63 states/eV/atom

Unit cell a=3.5092 b=3.5092 c=7.2227 alpha=90.00 beta=90.00 gamma=90.00
Space group P4mm (No. 99)
Asymmetric unit:
Tm  0.0000  0.0000  0.0000 [1 per cell]
Sc  0.0000  0.0000  0.5231 [1 per cell]
Al  0.5000  0.5000  0.7467 [1 per cell]
Cd  0.5000  0.5000  0.2797 [1 per cell]

=====

# AcTcH6Pd

AcTcH6Pd after structural relaxation (PBE, Alexandria).

uncorrected energy = -4.659 eV per atom
magnetization = 0.000 μB/atom
DOS(E_F) = 0.45 states/eV/atom

Unit cell a=4.8114 b=4.8114 c=4.6682 alpha=90.00 beta=90.00 gamma=120.00
Space group P-6m2 (No. 187)
Asymmetric unit:
Ac  0.0000  0.0000  0.0000 [1 per cell]
Tc  0.6667  0.3333  0.5000 [1 per cell]
H  0.5150  0.0299  0.2384 [6 per cell]
Pd  0.3333  0.6667  0.5000 [1 per cell]

=====

# Hg2SbAs

Hg2SbAs after structural relaxation (PBE, Alexandria).

ΔE_f (raw) = 0.276 eV per atom
uncorrected energy = -2.068 eV per atom
offset from the most stable computed form = 240 meV/atom
magnetization = 0.000 μB/atom
DOS(E_F) = 0.45 states/eV/atom

Unit cell a=3.9035 b=4.7671 c=5.2147 alpha=90.00 beta=90.00 gamma=90.00
Space group Pmmm (No. 47)
Asymmetric unit:
Hg  0.0000  0.0000  0.0000 [1 per cell]
Hg  0.5000  0.0000  0.5000 [1 per cell]
Sb  0.0000  0.5000  0.5000 [1 per cell]
As  0.5000  0.5000  0.0000 [1 per cell]

=====

# SrBe2AgGe

SrBe2AgGe after structural relaxation (PBE, Alexandria).

uncorrected energy = -1.447 eV per atom
energy of formation from the pure elements = 1.87 eV/atom
magnetization = 0.000 μB/atom
DOS(E_F) = 1.20 states/eV/atom

Unit cell a=5.4332 b=5.4332 c=5.6962 alpha=90.00 beta=90.00 gamma=90.00
Space group P4/mmm (No. 123)
Asymmetric unit:
Sr  0.0000  0.0000  0.0000 [1 per cell]
Be  0.0000  0.5000  0.0000 [2 per cell]
Ag  0.5000  0.5000  0.5000 [1 per cell]
Ge  0.0000  0.0000  0.5000 [1 per cell]

=====

# Rb3UBi3S8

Rb3UBi3S8 after structural relaxation (PBE, Alexandria).

ΔE_f (raw) = -0.912 eV per atom
uncorrected energy = -4.836 eV per atom
magnetization = 0.133 μB/atom
DOS(E_F) = 0.49 states/eV/atom

Unit cell a=8.2605 b=8.2605 c=23.6415 alpha=90.00 beta=90.00 gamma=120.00
Space group R-3m (No. 166, hexagonal axes)
Asymmetric unit:
Rb  0.0000  0.5000  0.0000 [9 per cell]
U  0.0000  0.0000  0.5000 [3 per cell]
Bi  0.0000  0.5000  0.5000 [9 per cell]
S  0.0000  0.0000  0.2332 [6 per cell]
S  0.0156  0.5078  0.2300 [18 per cell]

=====

# LaCdIr

LaCdIr after structural relaxation (PBE, Alexandria).

uncorrected energy = -5.450 eV per atom
energy of formation from the pure elements = -0.55 eV/atom
magnetization = 0.000 μB/atom
DOS(E_F) = 0.46 states/eV/atom

Unit cell a=4.0497 b=17.7093 c=4.0981 alpha=90.00 beta=90.00 gamma=90.00
Space group Cmcm (No. 63)
Asymmetric unit:
La  0.0000  0.0952  0.2500 [4 per cell]
Cd  0.0000  0.2907  0.2500 [4 per cell]
Ir  0.0000  0.4506  0.2500 [4 per cell]

=====

# Er2Si4W3

Er2Si4W3 after structural relaxation (PBE, Alexandria).

ΔE_f (raw) = -0.557 eV per atom
uncorrected energy = -8.299 eV per atom
magnetization = 0.000 μB/atom
DOS(E_F) = 0.41 states/eV/atom

Unit cell a=6.8149 b=6.8914 c=6.7362 alpha=90.00 beta=108.91 gamma=90.00
Space group P2_1/c (No. 14)
Asymmetric unit:
Er  0.1898  0.1701  0.0610 [4 per cell]
Si  0.0887  0.5443  0.8643 [4 per cell]
Si  0.4968  0.6318  0.6274 [4 per cell]
W  0.2497  0.6602  0.2476 [4 per cell]
W  0.5000  0.0000  0.5000 [2 per cell]

=====

# CrWSe2Br

CrWSe2Br after structural relaxation (PBE, Alexandria).

ΔE_f (raw) = 0.964 eV per atom
uncorrected energy = -5.279 eV per atom
offset from the most stable computed form = 408 meV/atom
magnetization = 1.402 μB/atom
DOS(E_F) = 0.75 states/eV/atom

Unit cell a=4.9421 b=4.9421 c=4.7719 alpha=90.00 beta=90.00 gamma=90.00
Space group P4/mmm (No. 123)
Asymmetric unit:
Cr  0.0000  0.0000  0.0000 [1 per cell]
W  0.5000  0.5000  0.5000 [1 per cell]
Se  0.0000  0.5000  0.0000 [2 per cell]
Br  0.0000  0.0000  0.5000 [1 per cell]

=====

# PaNi6Ag

PaNi6Ag after structural relaxation (PBE, Alexandria).

uncorrected energy = -5.909 eV per atom
energy of formation from the pure elements = -0.03 eV/atom
magnetization = 0.000 μB/atom
DOS(E_F) = 0.79 states/eV/atom

Unit cell a=4.7725 b=4.7725 c=4.7725 alpha=90.00 beta=90.00 gamma=90.00
Space group Pm-3 (No. 200)
Asymmetric unit:
Pa  0.0000  0.0000  0.0000 [1 per cell]
Ni  0.0000  0.5000  0.2532 [6 per cell]
Ag  0.5000  0.5000  0.5000 [1 per cell]

=====

# Nd3Sm2Tm8

Nd3Sm2Tm8 after structural relaxation (PBE, Alexandria).

uncorrected energy = -4.554 eV per atom
energy of formation from the pure elements = 0.02 eV/atom
offset from the most stable computed form = 0 meV/atom
magnetization = 0.000 μB/atom
DOS(E_F) = 1.38 states/eV/atom

Unit cell a=6.1518 b=6.1635 c=11.2216 alpha=89.77 beta=79.26 gamma=80.37
Space group P-1 (No. 2)
Asymmetric unit:
Nd  0.0000  0.0000  0.0000 [1 per cell]
Nd  0.2310  0.4622  0.0786 [2 per cell]
Sm  0.3842  0.7695  0.4617 [2 per cell]
Tm  0.0764  0.1525  0.6905 [2 per cell]
Tm  0.1531  0.3078  0.3858 [2 per cell]
Tm  0.3080  0.6137  0.7664 [2 per cell]
Tm  0.4633  0.9250  0.1563 [2 per cell]